Material: Cu3P4S3I3
Method: DFT, PBE
State: optimized geometry

Lattice parameters (Å, degrees): 19.761 10.160 7.235 90.00 90.00 90.00
Fractional positions:
Cu (0.133, 0.250, 0.078)
Cu (0.187, 0.017, 0.580)
Cu (0.187, 0.483, 0.580)
Cu (0.313, 0.517, 0.080)
Cu (0.313, 0.983, 0.080)
Cu (0.367, 0.750, 0.578)
Cu (0.633, 0.250, 0.422)
Cu (0.687, 0.017, 0.920)
Cu (0.687, 0.483, 0.920)
Cu (0.813, 0.517, 0.420)
Cu (0.813, 0.983, 0.420)
Cu (0.867, 0.750, 0.922)
P (0.024, 0.250, 0.139)
P (0.117, 0.637, 0.688)
P (0.117, 0.863, 0.688)
P (0.139, 0.750, 0.951)
P (0.361, 0.250, 0.451)
P (0.383, 0.137, 0.188)
P (0.383, 0.363, 0.188)
P (0.476, 0.750, 0.639)
P (0.524, 0.250, 0.361)
P (0.617, 0.637, 0.812)
P (0.617, 0.863, 0.812)
P (0.639, 0.750, 0.549)
P (0.861, 0.250, 0.049)
P (0.883, 0.137, 0.312)
P (0.883, 0.363, 0.312)
P (0.976, 0.750, 0.861)
S (0.014, 0.590, 0.704)
S (0.014, 0.910, 0.704)
S (0.046, 0.750, 0.086)
S (0.454, 0.250, 0.586)
S (0.486, 0.090, 0.204)
S (0.486, 0.410, 0.204)
S (0.514, 0.590, 0.796)
S (0.514, 0.910, 0.796)
S (0.546, 0.750, 0.414)
S (0.954, 0.250, 0.914)
S (0.986, 0.090, 0.296)
S (0.986, 0.410, 0.296)
I (0.148, 0.250, 0.714)
I (0.191, 0.037, 0.217)
I (0.191, 0.463, 0.217)
I (0.309, 0.537, 0.717)
I (0.309, 0.963, 0.717)
I (0.352, 0.750, 0.214)
I (0.648, 0.250, 0.786)
I (0.691, 0.037, 0.283)
I (0.691, 0.463, 0.283)
I (0.809, 0.537, 0.783)
I (0.809, 0.963, 0.783)
I (0.852, 0.750, 0.286)

Values from the calculation:
Magnetic moment: 0.000 μB/atom
Symmetry: Pnma (62)
ΔE_f (raw): -194.2 meV/atom
Volume: 1453 Å³ per cell


Material: Nd7Co2Au2
Method: DFT, PBE
State: optimized geometry

Lattice parameters (Å, degrees): 6.869 6.869 7.045 90.00 90.00 110.90
Fractional positions:
Nd (0.000, 0.000, 0.000)
Nd (0.000, 0.500, 0.254)
Nd (0.000, 0.500, 0.746)
Nd (0.500, 0.000, 0.254)
Nd (0.500, 0.000, 0.746)
Nd (0.500, 0.500, 0.244)
Nd (0.500, 0.500, 0.756)
Co (0.299, 0.701, 0.000)
Co (0.701, 0.299, 0.000)
Au (0.180, 0.180, 0.500)
Au (0.820, 0.820, 0.500)

Values from the calculation:
Magnetic moment: 0.000 μB/atom
Symmetry: Cmmm (65)
Formation energy: -0.22 eV/atom
Volume: 311 Å³ per cell


Material: Ca2HPb
Method: DFT, PBE
State: optimized geometry

Lattice parameters (Å, degrees): 6.429 6.013 12.199 90.00 118.87 90.00
Fractional positions:
Ca (0.028, 0.243, 0.426)
Ca (0.028, 0.757, 0.926)
Ca (0.306, 0.192, 0.835)
Ca (0.306, 0.808, 0.335)
Ca (0.694, 0.192, 0.665)
Ca (0.694, 0.808, 0.165)
Ca (0.972, 0.243, 0.074)
Ca (0.972, 0.757, 0.574)
H (0.026, 0.128, 0.632)
H (0.026, 0.872, 0.132)
H (0.974, 0.128, 0.868)
H (0.974, 0.872, 0.368)
Pb (0.494, 0.310, 0.375)
Pb (0.494, 0.690, 0.875)
Pb (0.506, 0.310, 0.125)
Pb (0.506, 0.690, 0.625)

Values from the calculation:
Magnetic moment: 0.000 μB/atom
Symmetry: P2/c (13)
ΔE to the lowest computed polymorph: 0.191 eV per formula unit
Volume: 413 Å³ per cell


Material: AcTl2SbTe4
Method: DFT, PBE
State: optimized geometry

Lattice parameters (Å, degrees): 8.111 4.657 8.505 90.00 108.44 90.00
Fractional positions:
Ac (0.000, 0.000, 0.000)
Tl (0.000, 0.500, 0.500)
Tl (0.500, 0.000, 0.500)
Sb (0.500, 0.500, 0.000)
Te (0.258, 0.500, 0.225)
Te (0.276, 0.000, 0.783)
Te (0.724, 0.000, 0.217)
Te (0.742, 0.500, 0.775)

Values from the calculation:
Magnetic moment: 0.000 μB/atom
Symmetry: P2/m (10)
ΔE_f (raw): -657.2 meV/atom
Volume: 305 Å³ per cell


Among the records above, which one has the lowest volume?
AcTl2SbTe4


Which of these has the highest volume?
Cu3P4S3I3